KBaTe2I: relaxed, PBE-GGA.

Lattice parameters (Å, degrees): 6.000 6.000 6.335 90.00 90.00 90.00
Fractional positions:
K (0.000, 0.000, 0.000)
Te (0.000, 0.500, 0.000)
Ba (0.500, 0.500, 0.500)
Te (0.500, 0.000, 0.000)
I (0.000, 0.000, 0.500)

Properties
- Spin magnetization: 0.00 μB/cell
- Energy relative to the elements, uncorrected: -0.523 eV per atom
- Final energy: -2.693 eV per atom



TaGa3Si: relaxed, PBE-GGA.

Lattice parameters (Å, degrees): 4.661 4.661 4.661 90.00 90.00 90.00
Fractional positions:
Si (0.000, 0.000, 0.000)
Ta (0.500, 0.500, 0.500)
Ga (0.000, 0.000, 0.500)
Ga (0.000, 0.500, 0.000)
Ga (0.500, 0.000, 0.000)

Properties
- Spin magnetization: 0.00 μB/cell
- Energy relative to the elements, uncorrected: 1.025 eV per atom
- Final energy: -4.246 eV per atom



Y4AlBiN: relaxed, PBE-GGA.

Lattice parameters (Å, degrees): 6.650 6.658 8.656 90.00 112.59 90.00
Fractional positions:
Y (0.000, 0.500, 0.500)
Bi (0.396, 0.250, 0.791)
Y (0.500, 0.500, 0.500)
N (0.751, 0.250, 0.502)
Y (0.085, 0.750, 0.171)
Y (0.000, 0.000, 0.500)
Y (0.594, 0.250, 0.188)
Y (0.500, 0.000, 0.500)
Al (0.887, 0.750, 0.774)
Y (0.915, 0.250, 0.829)
Bi (0.604, 0.750, 0.209)
N (0.249, 0.750, 0.498)
Y (0.406, 0.750, 0.812)
Al (0.113, 0.250, 0.226)

Properties
- Spin magnetization: 0.00 μB/cell
- Energy relative to the elements, uncorrected: -0.829 eV per atom
- Final energy: -6.802 eV per atom



Copy entry 2 word for word.
TaGa3Si: relaxed, PBE-GGA.

Lattice parameters (Å, degrees): 4.661 4.661 4.661 90.00 90.00 90.00
Fractional positions:
Si (0.000, 0.000, 0.000)
Ta (0.500, 0.500, 0.500)
Ga (0.000, 0.000, 0.500)
Ga (0.000, 0.500, 0.000)
Ga (0.500, 0.000, 0.000)

Properties
- Spin magnetization: 0.00 μB/cell
- Energy relative to the elements, uncorrected: 1.025 eV per atom
- Final energy: -4.246 eV per atom



Question: The highest energy relative to the elements, uncorrected belongs to which entry?
Answer: TaGa3Si